(1)
First-principles (PBE-GGA) data for a geometry-optimized Nb3ZnO structure, as listed in the Alexandria database.

Unit cell a=4.2511 b=4.2511 c=4.2511 alpha=90.00 beta=90.00 gamma=90.00
Closest atoms and distances in Å follow each position.
Fractional positions:
Nb1 0.0000 0.5000 0.0000  2 O 2.13
Nb2 0.0000 0.0000 0.5000  2 O 2.13
Nb3 0.5000 0.0000 0.0000  2 O 2.13
Zn1 0.5000 0.5000 0.5000  12 Nb 3.01
O1 0.0000 0.0000 0.0000  6 Nb 2.13

Values from the calculation:
The formation energy (no corrections) is -3.1 eV/f.u.

(2)
First-principles (PBE-GGA) data for a geometry-optimized ZrAlSi2 structure, as listed in the Alexandria database.

Unit cell a=4.6041 b=4.6041 c=4.6041 alpha=60.00 beta=60.00 gamma=60.00
Closest atoms and distances in Å follow each position.
Fractional positions:
Si1 0.5000 0.5000 0.5000  4 Zr 2.82, 4 Si 2.82
Si2 0.7500 0.7500 0.7500  4 Al 2.82, 4 Si 2.82
Al1 0.0000 0.0000 0.0000  4 Si 2.82, 4 Zr 2.82
Zr1 0.2500 0.2500 0.2500  4 Al 2.82, 4 Si 2.82

Values from the calculation:
The formation energy (no corrections) is 0.9 eV/f.u.

(3)
First-principles (PBE-GGA) data for a geometry-optimized Cs3Li4Te4 structure, as listed in the Alexandria database.

Unit cell a=7.9076 b=7.9076 c=7.9076 alpha=109.47 beta=109.47 gamma=109.47
Closest atoms and distances in Å follow each position.
Fractional positions:
Cs1 0.5000 0.5000 0.0000  4 Te 3.73, 4 Li 3.77
Cs2 0.5000 0.0000 0.5000  4 Te 3.73, 4 Li 3.77
Cs3 0.0000 0.5000 0.5000  4 Te 3.73, 4 Li 3.77
Li1 0.0000 0.2663 0.0000  4 Te 2.90-2.99
Li2 0.0000 0.0000 0.2663  4 Te 2.90-2.99
Li3 0.2663 0.0000 0.0000  4 Te 2.90-2.99
Li4 0.7337 0.7337 0.7337  4 Te 2.90-2.99
Te1 0.0000 0.6439 0.0000  4 Li 2.90-2.99
Te2 0.6439 0.0000 0.0000  4 Li 2.90-2.99
Te3 0.0000 0.0000 0.6439  4 Li 2.90-2.99
Te4 0.3561 0.3561 0.3561  4 Li 2.90-2.99

Values from the calculation:
The formation energy (no corrections) is -10.4 eV/f.u.

(4)
First-principles (PBE-GGA) data for a geometry-optimized Pr3Ga2Ru3C structure, as listed in the Alexandria database.

Unit cell a=3.5470 b=7.5388 c=7.5388 alpha=120.00 beta=90.00 gamma=90.00
Closest atoms and distances in Å follow each position.
Fractional positions:
Pr1 0.0000 0.0000 0.3635  1 C 2.74, 4 Ru 2.97, 4 Ga 2.99
Pr2 0.0000 0.6365 0.6365  1 C 2.74, 4 Ru 2.97, 4 Ga 2.99
Pr3 0.0000 0.3635 0.0000  1 C 2.74, 4 Ru 2.97, 4 Ga 2.99
Ga1 0.5000 0.3333 0.6667  6 Pr 2.99, 3 Ru 3.08
Ga2 0.5000 0.6667 0.3333  6 Pr 2.99, 3 Ru 3.08
Ru1 0.5000 0.7892 0.0000  2 C 2.38
Ru2 0.5000 0.2108 0.2108  2 C 2.38
Ru3 0.5000 0.0000 0.7892  2 C 2.38
C1 0.0000 0.0000 0.0000  6 Ru 2.38

Values from the calculation:
As for the energy of formation from the pure elements: -37.7 meV per atom.

Table of total energy (eV per atom), in record order: -7.9103, -5.5473, -3.0193, -6.4203